DFT (PBE) results for crystalline LiMg2Pd9 at its relaxed geometry.

Results
V	184.0	Å³/cell
space group	P4/mmm (123)
formation energy	-0.397	eV per atom
calculated total energy	-4.72	eV per atom

The structure in extended XYZ format:
```
12
Lattice="3.952 0.000 0.000 0.000 3.952 0.000 0.000 0.000 11.778" Properties=species:S:1:pos:R:3 pbc="T T T"
Li 0.000 0.000 0.000
Mg 0.000 0.000 3.895
Mg 0.000 0.000 7.883
Pd 0.000 1.976 1.911
Pd 0.000 1.976 5.889
Pd 0.000 1.976 9.867
Pd 1.976 0.000 1.911
Pd 1.976 0.000 5.889
Pd 1.976 0.000 9.867
Pd 1.976 1.976 0.000
Pd 1.976 1.976 3.892
Pd 1.976 1.976 7.886
```



DFT (PBE) results for crystalline Li3Mg6Pd at its relaxed geometry.

Results
V	409.0	Å³/cell
space group	P2_1/m (11)
formation energy	-0.149	eV per atom
calculated total energy	-2.20	eV per atom

The structure in extended XYZ format:
```
20
Lattice="11.032 0.000 0.000 0.000 3.069 0.000 -4.174 0.000 12.079" Properties=species:S:1:pos:R:3 pbc="T T T"
Li -1.539 0.767 4.700
Li -0.022 0.767 12.070
Li 2.706 0.767 7.148
Li 4.152 2.302 4.931
Li 6.880 2.302 0.009
Li 8.397 2.302 7.379
Mg 1.287 2.302 0.356
Mg -1.969 0.767 9.817
Mg -0.117 0.767 7.137
Mg 0.986 2.302 4.557
Mg 2.816 0.767 2.603
Mg 0.953 2.302 9.591
Mg 5.905 0.767 2.488
Mg 4.042 2.302 9.476
Mg 5.872 0.767 7.522
Mg 6.976 2.302 4.942
Mg 8.827 2.302 2.262
Mg 5.572 0.767 11.723
Pd 0.067 0.767 2.359
Pd 6.791 2.302 9.720
```



DFT (PBE) results for crystalline Li3Mg3Pd2 at its relaxed geometry.

Results
V	278.1	Å³/cell
space group	Cmcm (63)
formation energy	-0.339	eV per atom
calculated total energy	-2.95	eV per atom

The structure in extended XYZ format:
```
16
Lattice="2.222 -4.862 0.000 2.222 4.862 0.000 0.000 0.000 12.871" Properties=species:S:1:pos:R:3 pbc="T T T"
Li 2.222 4.259 7.696
Li 2.222 4.259 11.610
Li 2.222 2.418 9.653
Li 2.222 -2.418 3.218
Li 2.222 -4.259 1.260
Li 2.222 -4.259 5.175
Mg 2.222 1.469 6.887
Mg 2.222 1.469 12.420
Mg 2.222 0.343 3.218
Mg 2.222 -0.343 9.653
Mg 2.222 -1.469 0.451
Mg 2.222 -1.469 5.984
Pd 2.222 2.866 1.854
Pd 2.222 2.866 4.582
Pd 2.222 -2.866 8.289
Pd 2.222 -2.866 11.017
```



DFT (PBE) results for crystalline Li5MgPd4 at its relaxed geometry.

Results
V	143.8	Å³/cell
space group	C2/m (12)
formation energy	-0.438	eV per atom
calculated total energy	-3.63	eV per atom

The structure in extended XYZ format:
```
10
Lattice="6.448 -2.171 0.000 6.448 2.171 0.000 -1.460 0.000 5.136" Properties=species:S:1:pos:R:3 pbc="T T T"
Li 0.000 0.000 0.000
Li 2.206 0.000 1.575
Li 4.928 0.000 0.582
Li 6.509 0.000 4.554
Li 9.231 0.000 3.560
Mg -0.730 0.000 2.568
Pd 1.463 0.000 4.126
Pd 4.276 0.000 3.141
Pd 7.160 0.000 1.994
Pd 9.974 0.000 1.010
```



DFT (PBE) results for crystalline LiMgPd at its relaxed geometry.

Results
V	96.1	Å³/cell
space group	P-1 (2)
formation energy	-0.480	eV per atom
calculated total energy	-3.38	eV per atom

The structure in extended XYZ format:
```
6
Lattice="4.808 0.000 0.000 -2.334 4.206 0.000 -0.723 -1.216 4.753" Properties=species:S:1:pos:R:3 pbc="T T T"
Li -0.822 1.487 1.190
Li 2.573 1.503 3.562
Mg 1.470 0.136 1.187
Mg 0.281 2.855 3.566
Pd 0.163 0.092 3.564
Pd 1.588 2.899 1.189
```



DFT (PBE) results for crystalline Li3MgPd4 at its relaxed geometry.

Results
V	226.0	Å³/cell
space group	C2/m (12)
formation energy	-0.522	eV per atom
calculated total energy	-4.04	eV per atom

The structure in extended XYZ format:
```
16
Lattice="12.918 0.000 0.000 0.000 4.307 0.000 -1.431 0.000 4.062" Properties=species:S:1:pos:R:3 pbc="T T T"
Li 0.000 0.000 0.000
Li 2.851 0.000 1.010
Li 2.178 2.153 3.052
Li 6.459 2.153 0.000
Li 9.310 2.153 1.010
Li 8.637 0.000 3.052
Mg -0.715 2.153 2.031
Mg 5.744 0.000 2.031
Pd 0.766 0.000 2.556
Pd 1.483 2.153 0.523
Pd 3.546 0.000 3.540
Pd 4.262 2.153 1.506
Pd 7.942 0.000 0.523
Pd 7.226 2.153 2.556
Pd 10.721 0.000 1.506
Pd 10.005 2.153 3.540
```



DFT (PBE) results for crystalline Li8MgPd2 at its relaxed geometry.

Results
V	191.2	Å³/cell
space group	C2/m (12)
formation energy	-0.173	eV per atom
calculated total energy	-2.65	eV per atom

The structure in extended XYZ format:
```
11
Lattice="7.145 -2.653 0.000 7.145 2.653 0.000 -0.524 0.000 5.044" Properties=species:S:1:pos:R:3 pbc="T T T"
Li 1.405 0.000 0.203
Li 5.473 1.304 2.336
Li 3.596 0.000 4.495
Li 8.292 1.304 2.708
Li 5.473 -1.304 2.336
Li 10.169 0.000 0.548
Li 8.292 -1.304 2.708
Li 12.360 0.000 4.841
Mg 7.145 0.000 0.000
Pd 3.257 0.000 1.965
Pd 10.508 0.000 3.079
```



DFT (PBE) results for crystalline Li3Mg4Pd2 at its relaxed geometry.

Results
V	155.6	Å³/cell
space group	C2/m (12)
formation energy	-0.397	eV per atom
calculated total energy	-2.90	eV per atom

The structure in extended XYZ format:
```
9
Lattice="3.971 -2.275 0.000 3.971 2.275 0.000 -0.146 0.000 8.611" Properties=species:S:1:pos:R:3 pbc="T T T"
Li 0.000 0.000 0.000
Li 2.578 0.000 3.958
Li 5.217 0.000 4.653
Mg -0.038 0.000 2.745
Mg 2.633 0.000 0.976
Mg 5.163 0.000 7.635
Mg 7.833 0.000 5.867
Pd 2.526 0.000 6.751
Pd 5.269 0.000 1.860
```



DFT (PBE) results for crystalline Li12Mg3Pd at its relaxed geometry.

Results
V	298.4	Å³/cell
space group	P4/mmm (123)
formation energy	-0.090	eV per atom
calculated total energy	-2.15	eV per atom

The structure in extended XYZ format:
```
16
Lattice="4.200 0.000 0.000 0.000 4.200 0.000 0.000 0.000 16.917" Properties=species:S:1:pos:R:3 pbc="T T T"
Li 0.000 0.000 0.000
Li 0.000 0.000 3.969
Li 0.000 0.000 8.458
Li 0.000 0.000 12.948
Li 0.000 2.100 1.713
Li 0.000 2.100 6.198
Li 0.000 2.100 10.719
Li 0.000 2.100 15.204
Li 2.100 0.000 1.713
Li 2.100 0.000 6.198
Li 2.100 0.000 10.719
Li 2.100 0.000 15.204
Mg 2.100 2.100 3.927
Mg 2.100 2.100 8.458
Mg 2.100 2.100 12.990
Pd 2.100 2.100 0.000
```



DFT (PBE) results for crystalline Li3MgPd4 at its relaxed geometry.

Results
V	236.3	Å³/cell
space group	Imm2 (44)
formation energy	-0.379	eV per atom
calculated total energy	-3.89	eV per atom

The structure in extended XYZ format:
```
16
Lattice="5.336 0.000 0.000 0.000 8.962 0.000 0.000 0.000 4.941" Properties=species:S:1:pos:R:3 pbc="T T T"
Li 0.000 0.000 0.000
Li 0.000 2.130 3.676
Li 0.000 6.831 3.676
Li 2.668 2.351 1.205
Li 2.668 4.481 2.471
Li 2.668 6.611 1.205
Mg 0.000 4.481 2.433
Mg 2.668 0.000 4.904
Pd 0.000 2.207 1.194
Pd 0.000 6.755 1.194
Pd 1.336 0.000 2.418
Pd 1.332 4.481 4.889
Pd 2.668 2.274 3.665
Pd 2.668 6.688 3.665
Pd 4.000 0.000 2.418
Pd 4.004 4.481 4.889
```



DFT (PBE) results for crystalline Li8MgPd6 at its relaxed geometry.

Results
V	255.9	Å³/cell
space group	R-3 (148)
formation energy	-0.294	eV per atom
calculated total energy	-3.50	eV per atom

The structure in extended XYZ format:
```
15
Lattice="3.795 2.191 5.128 -3.795 2.191 5.128 0.000 -4.383 5.128" Properties=species:S:1:pos:R:3 pbc="T T T"
Li -2.543 -0.004 5.828
Li 0.000 0.000 2.526
Li -1.268 -2.205 9.557
Li 1.275 -2.201 5.828
Li -1.275 2.201 9.557
Li 1.268 2.205 5.828
Li 0.000 0.000 12.859
Li 2.543 0.004 9.557
Mg 0.000 0.000 7.692
Pd -1.286 -2.206 7.038
Pd -2.553 0.011 8.347
Pd -1.267 2.216 7.038
Pd 1.267 -2.216 8.347
Pd 2.553 -0.011 7.038
Pd 1.286 2.206 8.347
```



DFT (PBE) results for crystalline LiMg2Pd2 at its relaxed geometry.

Results
V	174.6	Å³/cell
space group	P4/mbm (127)
formation energy	-0.550	eV per atom
calculated total energy	-3.65	eV per atom

The structure in extended XYZ format:
```
10
Lattice="7.601 0.000 0.000 0.000 7.601 0.000 0.000 0.000 3.021" Properties=species:S:1:pos:R:3 pbc="T T T"
Li 0.000 0.000 0.000
Li 3.801 3.801 0.000
Mg 1.166 2.635 1.511
Mg 2.635 6.435 1.511
Mg 4.967 1.166 1.511
Mg 6.435 4.967 1.511
Pd 1.087 4.888 0.000
Pd 2.714 1.087 0.000
Pd 4.888 6.514 0.000
Pd 6.514 2.714 0.000
```